Material: PmPr2Tl3S6
Method: DFT, GGA-PBE
State: relaxed

The value obtained for the density of states at the Fermi level is 0.00 states/eV/cell. The energy relative to the elements, uncorrected comes out at -1.451 eV per atom.

Cell lengths 7.266, 12.585, 7.876 Å; angles 90.00, 107.91, 90.00 degrees
Space group C2/m (No. 12)
Symmetry-distinct sites (fractional):
1 Pm 0.000 0.000 0.000 (multiplicity 2)
2 Pr 0.000 0.333 0.000 (multiplicity 4)
3 Tl 0.000 0.167 0.500 (multiplicity 4)
4 Tl 0.000 0.500 0.500 (multiplicity 2)
5 S 0.233 0.165 0.205 (multiplicity 8)
6 S 0.239 0.500 0.205 (multiplicity 4)